Model a:
This record from Alexandria describes a relaxed Dy2Zn3Hg crystal. The functional is PBE-GGA.

Results
* calculated volume: 22.14 Å³/atom
* total moment: 0.00 μB per formula unit
* symmetry: No. 44

Structure (extended XYZ):
```
6
Lattice="3.642 0.000 -0.969 -0.318 4.202 -1.194 0.324 0.169 8.542" Properties=species:S:1:pos:R:3 pbc="T T T"
Zn 1.851 2.318 -0.371
Zn 2.458 3.011 1.909
Zn 1.012 3.440 3.801
Hg 1.665 4.186 6.254
Dy 0.525 0.600 1.971
Dy 3.274 1.662 4.975
```


Model b:
This record from Alexandria describes a relaxed Dy2Zn3Hg crystal. The functional is PBE-GGA.

Results
* calculated volume: 21.24 Å³/atom
* total moment: 0.00 μB per formula unit
* symmetry: No. 69

Structure (extended XYZ):
```
12
Lattice="5.737 -0.651 0.000 -0.873 5.707 0.000 -2.432 -2.528 7.923" Properties=species:S:1:pos:R:3 pbc="T T T"
Zn 0.000 0.000 2.558
Zn 4.133 0.892 1.283
Zn 2.432 2.528 5.366
Zn 0.731 4.164 1.283
Zn 1.701 -1.636 6.640
Zn -1.701 1.636 6.640
Dy 3.646 3.790 0.000
Dy 1.218 1.266 0.000
Dy 2.868 -0.325 3.962
Dy -0.437 2.854 3.962
Hg 0.000 0.000 5.285
Hg 2.432 2.528 2.638
```


It comes down to model b, which is 97 meV/atom more stable than the next structure.


Model a:
This record from Alexandria describes a relaxed Dy2ZnHg2 crystal. The functional is PBE-GGA.

Results
* calculated volume: 24.29 Å³/atom
* total moment: 0.00 μB per formula unit
* symmetry: No. 12

Structure (extended XYZ):
```
10
Lattice="-1.165 2.009 -3.882 -4.800 -2.473 -2.475 -5.673 7.734 3.069" Properties=species:S:1:pos:R:3 pbc="T T T"
Dy -4.216 -0.880 -1.826
Dy -4.152 3.304 -2.315
Dy -7.486 3.965 -0.973
Dy -7.422 8.149 -1.463
Hg -4.717 3.894 0.795
Hg -6.921 3.375 -4.084
Hg -9.640 6.107 -1.854
Hg -1.999 1.162 -1.435
Zn -6.631 1.152 -2.685
Zn -5.007 6.117 -0.603
```


Model b:
This record from Alexandria describes a relaxed Dy2ZnHg2 crystal. The functional is PBE-GGA.

Results
* calculated volume: 24.95 Å³/atom
* total moment: 0.00 μB per formula unit
* symmetry: No. 65

Structure (extended XYZ):
```
5
Lattice="-3.017 1.016 1.540 0.426 -2.629 2.568 5.062 4.808 6.749" Properties=species:S:1:pos:R:3 pbc="T T T"
Hg 2.268 -0.303 4.645
Hg 3.220 2.481 4.672
Dy 2.878 2.879 7.801
Dy -0.407 0.315 3.056
Zn 0.000 0.000 0.000
```


It comes down to model a, which is 80 meV/atom more stable than the next structure.


Model a:
This record from Alexandria describes a relaxed Dy6Zn2Hg crystal. The functional is PBE-GGA.

Results
* calculated volume: 29.35 Å³/atom
* total moment: 0.00 μB per formula unit
* symmetry: No. 139

Structure (extended XYZ):
```
9
Lattice="-4.148 -2.671 0.584 1.206 -0.835 4.746 -3.817 10.597 0.235" Properties=species:S:1:pos:R:3 pbc="T T T"
Hg 0.000 0.000 0.000
Dy -6.436 5.960 2.684
Dy -3.759 6.878 4.765
Dy -4.718 3.086 1.742
Dy -2.999 0.212 0.799
Dy -2.041 4.004 3.823
Dy -0.323 1.130 2.881
Zn -3.238 1.203 3.634
Zn -3.520 5.887 1.930
```


Model b:
This record from Alexandria describes a relaxed Dy6Zn2Hg crystal. The functional is PBE-GGA.

Results
* calculated volume: 26.85 Å³/atom
* total moment: 0.00 μB per formula unit
* symmetry: No. 71

Structure (extended XYZ):
```
18
Lattice="8.039 0.183 -2.947 -4.140 7.045 -2.565 -0.102 -0.183 8.562" Properties=species:S:1:pos:R:3 pbc="T T T"
Dy -0.248 4.260 0.351
Dy 1.313 5.093 3.525
Dy 5.567 0.322 0.547
Dy 3.226 5.364 0.441
Dy 2.484 1.951 -0.476
Dy 0.571 1.681 2.608
Dy -0.481 1.768 6.061
Dy -1.771 6.723 2.503
Dy 5.389 1.864 -2.617
Dy -1.593 5.180 5.667
Dy 4.045 2.784 2.699
Dy 4.278 5.276 -3.011
Zn 1.417 4.475 -2.003
Zn 5.046 0.000 3.570
Zn 2.890 0.000 2.045
Zn 2.380 2.570 5.053
Hg -2.121 3.431 2.998
Hg 0.000 0.000 0.000
```


It comes down to model b, which is 215 meV/atom more stable than the next structure.


Model a:
This record from Alexandria describes a relaxed Dy2ZnHg crystal. The functional is PBE-GGA.

Results
* calculated volume: 24.42 Å³/atom
* total moment: 0.21 μB per formula unit
* symmetry: No. 225

Structure (extended XYZ):
```
4
Lattice="5.169 0.000 0.000 2.585 4.477 0.000 2.585 1.492 4.221" Properties=species:S:1:pos:R:3 pbc="T T T"
Zn 0.000 0.000 0.000
Hg 5.169 2.984 2.110
Dy 7.754 4.477 3.166
Dy 2.585 1.492 1.055
```


Model b:
This record from Alexandria describes a relaxed Dy2ZnHg crystal. The functional is PBE-GGA.

Results
* calculated volume: 24.15 Å³/atom
* total moment: 0.00 μB per formula unit
* symmetry: No. 123

Structure (extended XYZ):
```
4
Lattice="-1.809 -1.653 2.654 -0.962 -2.624 -2.289 6.098 -3.797 1.790" Properties=species:S:1:pos:R:3 pbc="T T T"
Dy 1.423 -0.886 0.418
Dy 4.675 -2.911 1.372
Zn -1.385 -2.139 0.183
Hg 1.664 -4.037 1.078
```


It comes down to model b, which is 19 meV/atom more stable than the next structure.


Model a:
This record from Alexandria describes a relaxed Dy2ZrHg crystal. The functional is PBE-GGA.

Results
* calculated volume: 27.31 Å³/atom
* total moment: 0.00 μB per formula unit
* symmetry: No. 160

Structure (extended XYZ):
```
4
Lattice="-2.420 1.053 2.324 -3.358 -0.964 -0.399 -0.193 -8.323 6.230" Properties=species:S:1:pos:R:3 pbc="T T T"
Dy -1.504 -2.005 2.003
Dy -0.617 -6.281 4.864
Zr -2.985 -4.119 4.079
Hg -3.851 0.055 1.287
```


Model b:
This record from Alexandria describes a relaxed Dy2ZrHg crystal. The functional is PBE-GGA.

Results
* calculated volume: 26.35 Å³/atom
* total moment: 0.00 μB per formula unit
* symmetry: No. 123

Structure (extended XYZ):
```
4
Lattice="3.470 0.000 0.000 0.000 3.470 0.000 0.000 0.000 8.754" Properties=species:S:1:pos:R:3 pbc="T T T"
Dy 0.000 0.000 6.647
Dy 0.000 0.000 2.107
Hg 1.735 1.735 0.000
Zr 1.735 1.735 4.377
```


It comes down to model b, which is 98 meV/atom more stable than the next structure.


Model a:
This record from Alexandria describes a relaxed DyZrHg2 crystal. The functional is PBE-GGA.

Results
* calculated volume: 23.69 Å³/atom
* total moment: 0.48 μB per formula unit
* symmetry: No. 123

Structure (extended XYZ):
```
4
Lattice="3.634 0.000 0.000 0.000 3.634 0.000 0.000 0.000 7.175" Properties=species:S:1:pos:R:3 pbc="T T T"
Zr 1.817 1.817 0.000
Hg 0.000 0.000 5.483
Hg 0.000 0.000 1.692
Dy 1.817 1.817 3.587
```


Model b:
This record from Alexandria describes a relaxed DyZrHg2 crystal. The functional is PBE-GGA.

Results
* calculated volume: 23.74 Å³/atom
* total moment: 0.84 μB per formula unit
* symmetry: No. 225

Structure (extended XYZ):
```
4
Lattice="5.121 0.000 0.000 2.560 4.435 0.000 2.560 1.478 4.181" Properties=species:S:1:pos:R:3 pbc="T T T"
Hg 2.560 1.478 1.045
Hg 7.681 4.435 3.136
Zr 5.121 2.956 2.090
Dy 0.000 0.000 0.000
```


Model c:
This record from Alexandria describes a relaxed DyZrHg2 crystal. The functional is PBE-GGA.

Results
* calculated volume: 23.55 Å³/atom
* total moment: 1.02 μB per formula unit
* symmetry: No. 123

Structure (extended XYZ):
```
4
Lattice="-0.779 -3.228 -2.545 3.238 1.632 -3.061 3.354 -2.540 2.195" Properties=species:S:1:pos:R:3 pbc="T T T"
Dy 2.907 -2.068 -1.706
Zr -0.390 -1.614 -1.272
Hg 1.677 -1.270 1.097
Hg 1.619 0.816 -1.530
```


It comes down to model a, which is 20 meV/atom more stable than the next structure.